A relaxed structure of SiTcP3. Source: Alexandria via LeMat-Bulk, functional GGA-PBE.

Results
* calculated density: 3.7 g/cm³
* formation energy from raw total energies: 0.816 eV per atom
* symmetry: Pm-3m

```
SiTcP3
1.0
-0.5395 -2.5436 3.8041
-1.6356 -3.4702 -2.5523
4.2738 -1.6491 -0.4966
P Si Tc
3 1 1
Direct
0.0000 0.0000 0.5000
0.0000 0.5000 0.0000
0.5000 0.0000 0.0000
0.5000 0.5000 0.5000
0.0000 0.0000 0.0000
```